A geometry-optimized SmSn6Os structure, computed with PBE.

Results
energy of formation from the pure elements: -0.0742 eV/atom
space group: C2/m (12)
total moment: 0.00 Bohr magnetons per cell

Cell lengths 6.160, 7.732, 6.148 Å; angles 51.04, 77.93, 70.58 degrees
Atoms (fractional coordinates):
Sm1 0.000 0.000 0.000
Sn1 0.799 0.622 0.579
Sn2 0.799 0.201 0.421
Sn3 0.201 0.799 0.579
Sn4 0.201 0.378 0.421
Sn5 0.621 0.799 0.000
Sn6 0.379 0.201 0.000
Os1 0.500 0.500 0.000